Record 1
Here is crystalline Fe4CoTc at its relaxed geometry from the Alexandria database. Energies are from GGA-PBE.

**Raw total energy**: -8.43 eV per atom
**Symmetry**: F-43m, No. 216
**Theoretical density**: 9.07 g/cm3
**Volume**: 11.61 A^3/atom

Geometry as POSCAR:
```
Fe4CoTc
1.0
1.9115 -4.1896 0.3523
-0.6142 -2.5037 3.8321
-2.6650 -3.7706 -0.1075
Fe Tc Co
4 1 1
Cartesian
-0.5120 -3.9170 1.5262 Fe
-1.8515 -5.8123 1.4721 Fe
-0.8207 -5.1755 3.4524 Fe
0.4488 -6.0230 1.7032 Fe
-1.0258 -7.8480 3.0577 Tc
0.0000 0.0000 0.0000 Co
```


Record 2
Here is crystalline FeCoTc at its relaxed geometry from the Alexandria database. Energies are from GGA-PBE.

**Symmetry**: P3m1, No. 156
**Theoretical density**: 9.44 g/cm3
**Distance to the lowest polymorph of the same formula**: 0.109 eV per atom
**Volume**: 12.47 A^3/atom

Geometry as POSCAR:
```
FeCoTc
1.0
-1.4411 1.2366 -1.8055
-0.8831 -2.2127 1.0907
-2.8006 3.3508 4.5305
Co Fe Tc
1 1 1
Cartesian
-0.0253 0.0303 0.0410 Co
-2.1573 1.1663 0.6194 Fe
-2.9421 1.1780 3.1553 Tc
```


Record 3
Here is crystalline Fe2CoTc at its relaxed geometry from the Alexandria database. Energies are from GGA-PBE.

**Symmetry**: P2/m, No. 10
**Theoretical density**: 9.03 g/cm3
**Distance to the lowest polymorph of the same formula**: 0.050 eV per atom
**Volume**: 12.34 A^3/atom

Geometry as POSCAR:
```
Fe2CoTc
1.0
-1.3274 3.0093 2.4667
-1.5747 0.7808 -1.7999
-3.8740 -2.6555 1.1550
Fe Co Tc
2 1 1
Cartesian
-2.7781 -0.9400 -0.3482 Fe
-5.3949 -1.8721 -0.6192 Fe
-4.7502 0.0986 0.7497 Co
-2.0259 1.0360 1.0721 Tc
```


Record 4
Here is crystalline FeCoTc2 at its relaxed geometry from the Alexandria database. Energies are from GGA-PBE.

**Symmetry**: R-3m, No. 166
**Theoretical density**: 10.04 g/cm3
**Distance to the lowest polymorph of the same formula**: 0.119 eV per atom
**Volume**: 12.86 A^3/atom

Geometry as POSCAR:
```
FeCoTc2
1.0
8.6195 -0.0035 -0.0020
8.2145 2.6110 -0.0020
8.2145 1.2724 2.2800
Tc Co Fe
2 1 1
Cartesian
0.0060 0.0009 0.0005 Tc
12.5183 1.9391 1.1374 Tc
6.2621 0.9700 0.5690 Co
18.7864 2.9100 1.7070 Fe
```


Record 5
Here is crystalline FeCoTc2 at its relaxed geometry from the Alexandria database. Energies are from GGA-PBE.

**Symmetry**: I-42d, No. 122
**Theoretical density**: 9.49 g/cm3
**Distance to the lowest polymorph of the same formula**: 0.640 eV per atom
**Volume**: 13.59 A^3/atom

Geometry as POSCAR:
```
FeCoTc2
1.0
-4.8867 2.8593 3.1970
-3.8191 -0.6948 -5.2162
-5.1252 -1.2116 -0.1386
Tc Co Fe
4 2 2
Cartesian
-7.1662 -0.1075 -0.9398 Tc
-4.3528 -0.3366 -2.8469 Tc
-4.7392 1.3541 1.2632 Tc
-11.4039 0.9957 -1.7920 Tc
0.0000 0.0000 0.0000 Co
-7.1824 1.3650 1.0244 Co
-6.6486 -0.4121 -3.1822 Fe
-4.3529 1.0822 -1.0096 Fe
```


Record 6
Here is crystalline FeCoTc2 at its relaxed geometry from the Alexandria database. Energies are from GGA-PBE.

**Symmetry**: C2/m, No. 12
**Theoretical density**: 9.97 g/cm3
**Distance to the lowest polymorph of the same formula**: 0.106 eV per atom
**Volume**: 12.94 A^3/atom

Geometry as POSCAR:
```
FeCoTc2
1.0
4.5324 0.0034 -0.0062
3.7539 2.5398 -0.0062
0.7804 0.2395 4.5005
Tc Co Fe
2 1 1
Cartesian
0.8091 0.2483 4.4834 Tc
4.5046 1.3826 2.2611 Tc
6.8000 2.0871 3.3661 Co
2.2667 0.6957 1.1220 Fe
```


Record 7
Here is crystalline FeCoTc2 at its relaxed geometry from the Alexandria database. Energies are from GGA-PBE.

**Symmetry**: Fm-3m, No. 225
**Theoretical density**: 10.21 g/cm3
**Distance to the lowest polymorph of the same formula**: 0.329 eV per atom
**Volume**: 12.64 A^3/atom

Geometry as POSCAR:
```
FeCoTc2
1.0
-0.6890 -3.7250 1.6962
-0.1995 -0.3964 4.1268
-3.6353 -0.8048 1.8342
Fe Tc Co
1 2 1
Cartesian
0.0000 0.0000 0.0000 Fe
-1.1310 -1.2315 1.9143 Tc
-3.3929 -3.6946 5.7429 Tc
-2.2619 -2.4631 3.8286 Co
```


Record 8
Here is crystalline FeCoTc at its relaxed geometry from the Alexandria database. Energies are from GGA-PBE.

**Symmetry**: I4mm, No. 107
**Theoretical density**: 9.62 g/cm3
**Distance to the lowest polymorph of the same formula**: 0.028 eV per atom
**Volume**: 12.24 A^3/atom

Geometry as POSCAR:
```
FeCoTc
1.0
5.7772 0.0067 0.0000
4.6131 3.4779 0.0000
-5.1952 -1.7423 1.8306
Tc Co Fe
1 1 1
Cartesian
6.8674 2.3031 0.0000 Tc
10.3576 3.4736 0.0000 Co
3.5557 1.1924 0.0000 Fe
```


Record 9
Here is crystalline FeCoTc2 at its relaxed geometry from the Alexandria database. Energies are from GGA-PBE.

**Symmetry**: Pmmm, No. 47
**Theoretical density**: 10.36 g/cm3
**Distance to the lowest polymorph of the same formula**: 0.032 eV per atom
**Volume**: 12.46 A^3/atom

Geometry as POSCAR:
```
FeCoTc2
1.0
3.6381 0.0000 0.0000
0.0000 2.6176 0.0141
0.0000 2.5921 5.2464
Tc Co Fe
2 1 1
Cartesian
0.0000 2.5931 5.2239 Tc
0.0000 2.6038 2.6527 Tc
1.8191 1.3024 1.3151 Co
1.8191 3.9073 3.9454 Fe
```


Record 10
Here is crystalline FeCoTc2 at its relaxed geometry from the Alexandria database. Energies are from GGA-PBE.

**Symmetry**: P4/mmm, No. 123
**Theoretical density**: 10.20 g/cm3
**Distance to the lowest polymorph of the same formula**: 0.018 eV per atom
**Volume**: 12.64 A^3/atom

Geometry as POSCAR:
```
FeCoTc2
1.0
-2.7466 -2.2226 -1.1032
1.9785 -2.9551 1.0278
-1.4936 0.1724 3.3709
Co Tc Fe
1 2 1
Cartesian
-2.1201 -1.0251 1.1338 Co
0.0000 0.0000 0.0000 Tc
-0.3840 -2.5888 -0.0377 Tc
0.2425 -1.3913 2.1993 Fe
```


Record 11
Here is crystalline Fe2CoTc at its relaxed geometry from the Alexandria database. Energies are from GGA-PBE.

**Symmetry**: I-42d, No. 122
**Theoretical density**: 8.82 g/cm3
**Distance to the lowest polymorph of the same formula**: 0.511 eV per atom
**Volume**: 12.64 A^3/atom

Geometry as POSCAR:
```
Fe2CoTc
1.0
-2.6671 -2.1908 0.4673
2.2110 -2.6913 0.0023
0.6327 -1.7268 8.4950
Tc Fe Co
2 4 2
Cartesian
-1.1312 -3.1793 4.5986 Tc
0.0000 0.0000 0.0000 Tc
0.0222 -5.5022 6.7821 Fe
-1.1682 -2.0847 2.4049 Fe
0.3567 -3.1906 6.5474 Fe
1.1425 -2.4403 2.1948 Fe
-0.2280 -2.4410 0.2348 Co
1.3078 -3.4296 4.3661 Co
```


Record 12
Here is crystalline Fe2CoTc at its relaxed geometry from the Alexandria database. Energies are from GGA-PBE.

**Symmetry**: P4/mmm, No. 123
**Theoretical density**: 9.20 g/cm3
**Distance to the lowest polymorph of the same formula**: 0.022 eV per atom
**Volume**: 12.12 A^3/atom

Geometry as POSCAR:
```
Fe2CoTc
1.0
-0.6967 2.5121 0.3340
-0.9599 0.0590 -2.4459
-6.2649 -2.0578 2.4090
Fe Co Tc
2 1 1
Cartesian
-3.2457 -1.0661 1.2480 Fe
-6.1517 -2.0206 2.3655 Fe
-5.5270 -0.2578 0.7508 Co
-2.3945 0.7711 -0.4537 Tc
```